(1)
HoZnPt3 | PBE-GGA | relaxed

abc: 4.9997 5.6748 7.0058
angles: 90.00 90.00 90.00
Atoms (fractional coordinates):
Pt1 0.5000 0.5000 0.0000
Pt2 0.0000 0.1229 0.1686
Pt3 0.0000 0.8771 0.8314
Pt4 0.5000 0.0000 0.5000
Pt5 0.0000 0.3771 0.6686
Pt6 0.0000 0.6229 0.3314
Zn1 0.0000 0.5000 0.0000
Zn2 0.0000 0.0000 0.5000
Ho1 0.5000 0.5000 0.5000
Ho2 0.5000 0.0000 0.0000

Values from the calculation:
As for the total energy: -52.3 eV for the cell shown. The total moment is 0.000 μB/f.u. The space group is No. 55.

(2)
Dy15YEr4 | PBE-GGA | relaxed

abc: 5.0034 5.0034 25.0040
angles: 90.00 90.00 90.00
Atoms (fractional coordinates):
Dy1 0.0000 0.5000 0.1009
Dy2 0.5000 0.5000 0.5998
Dy3 0.5000 0.0000 0.8991
Dy4 0.5000 0.5000 0.2007
Dy5 0.5000 0.5000 0.0000
Dy6 0.5000 0.5000 0.7993
Dy7 0.5000 0.0000 0.3005
Dy8 0.5000 0.5000 0.4002
Dy9 0.5000 0.0000 0.1009
Dy10 0.5000 0.0000 0.5000
Dy11 0.0000 0.5000 0.5000
Dy12 0.0000 0.5000 0.3005
Dy13 0.5000 0.0000 0.6995
Dy14 0.0000 0.5000 0.6995
Dy15 0.0000 0.5000 0.8991
Y1 0.0000 0.0000 0.0000
Er1 0.0000 0.0000 0.5997
Er2 0.0000 0.0000 0.7994
Er3 0.0000 0.0000 0.2006
Er4 0.0000 0.0000 0.4003

Values from the calculation:
As for the total energy: -93.4 eV for the cell shown. The total moment is 0.000 μB/f.u. The space group is No. 123.